A relaxed Ce2Ni12P3Pd crystal, computed with PBE-GGA.

Results
theoretical density: 7.89 g/cm³
total magnetic moment: 0.000 μB/atom
ΔE_f: -0.1393 eV per atom
N(E_F): 8.91 states/eV per cell

```
Ce2Ni12P3Pd
1.0
6.226 -1.128 -0.800
2.094 5.971 -0.800
2.094 1.219 5.899
Ni P Ce Pd
12 3 2 1
Direct
0.657 0.657 0.100 Ni
0.822 0.822 0.351 Ni
0.351 0.822 0.822 Ni
0.178 0.178 0.649 Ni
0.343 0.900 0.343 Ni
0.100 0.657 0.657 Ni
0.178 0.649 0.178 Ni
0.343 0.343 0.900 Ni
0.649 0.178 0.178 Ni
0.900 0.343 0.343 Ni
0.822 0.351 0.822 Ni
0.657 0.100 0.657 Ni
0.000 0.000 0.500 P
0.000 0.500 0.000 P
0.500 0.000 0.000 P
0.381 0.381 0.381 Ce
0.619 0.619 0.619 Ce
0.000 0.000 0.000 Pd
```

---

A relaxed CePmNiP crystal, computed with PBE-GGA.

Results
theoretical density: 7.29 g/cm³
total magnetic moment: 0.382 μB/atom
ΔE_f: -0.5746 eV per atom
N(E_F): 9.14 states/eV per cell

```
CePmNiP
1.0
-4.862 -0.790 -0.421
-1.758 -4.620 -0.053
-2.570 -1.711 3.861
P Ce Pm Ni
1 1 1 1
Direct
0.750 0.750 0.750 P
0.500 0.500 0.500 Ce
0.000 0.000 0.000 Pm
0.250 0.250 0.250 Ni
```

---

A relaxed Ce2Ni3P4Pt crystal, computed with PBE-GGA.

Results
theoretical density: 8.30 g/cm³
total magnetic moment: 0.040 μB/atom
ΔE_f: -1.0038 eV per atom
N(E_F): 10.13 states/eV per cell

```
Ce2Ni3P4Pt
1.0
-0.464 4.073 0.381
-1.018 -0.487 3.960
8.805 0.782 2.361
Ni P Ce Pt
3 4 2 1
Direct
0.000 0.500 0.110 Ni
0.000 0.000 0.500 Ni
0.500 0.000 0.890 Ni
0.500 0.500 0.000 P
0.000 0.000 0.000 P
0.500 0.000 0.642 P
0.000 0.500 0.358 P
0.000 0.500 0.760 Ce
0.500 0.000 0.240 Ce
0.500 0.500 0.500 Pt
```

---

A relaxed Ce2NiP3Rh4 crystal, computed with PBE-GGA.

Results
theoretical density: 8.55 g/cm³
total magnetic moment: 0.000 μB/atom
ΔE_f: -0.9846 eV per atom
N(E_F): 9.97 states/eV per cell

```
Ce2NiP3Rh4
1.0
4.054 0.000 0.000
0.000 4.054 0.000
0.000 0.000 9.973
Rh P Ni Ce
4 3 1 2
Direct
0.500 0.500 0.000 Rh
0.000 0.000 0.000 Rh
0.000 0.500 0.366 Rh
0.500 0.000 0.634 Rh
0.000 0.000 0.500 P
0.500 0.000 0.865 P
0.000 0.500 0.135 P
0.500 0.500 0.500 Ni
0.500 0.000 0.259 Ce
0.000 0.500 0.741 Ce
```

---

A relaxed Ce2Ni12P3Rh crystal, computed with PBE-GGA.

Results
theoretical density: 7.82 g/cm³
total magnetic moment: 0.000 μB/atom
ΔE_f: -0.1040 eV per atom
N(E_F): 8.93 states/eV per cell

```
Ce2Ni12P3Rh
1.0
-6.183 -1.219 -1.161
0.048 -0.517 -6.387
0.133 -6.369 -0.697
Ni P Ce Rh
12 3 2 1
Direct
0.175 0.645 0.175 Ni
0.103 0.666 0.666 Ni
0.175 0.175 0.645 Ni
0.825 0.355 0.825 Ni
0.666 0.103 0.666 Ni
0.355 0.825 0.825 Ni
0.645 0.175 0.175 Ni
0.825 0.825 0.355 Ni
0.334 0.897 0.334 Ni
0.666 0.666 0.103 Ni
0.334 0.334 0.897 Ni
0.897 0.334 0.334 Ni
0.500 0.000 0.000 P
0.000 0.500 0.000 P
0.000 0.000 0.500 P
0.381 0.381 0.381 Ce
0.619 0.619 0.619 Ce
0.000 0.000 0.000 Rh
```

---

A relaxed CeNiP2Ru2 crystal, computed with PBE-GGA.

Results
theoretical density: 7.84 g/cm³
total magnetic moment: 0.008 μB/atom
ΔE_f: -0.2309 eV per atom
N(E_F): 5.87 states/eV per cell

```
CeNiP2Ru2
1.0
-3.876 1.683 -0.863
-1.056 -3.558 -2.196
-1.917 -2.154 4.411
P Ce Ru Ni
2 1 2 1
Direct
0.000 0.500 0.000 P
0.500 0.000 0.000 P
0.000 0.000 0.500 Ce
0.500 0.500 0.744 Ru
0.500 0.500 0.256 Ru
0.000 0.000 0.000 Ni
```

---

A relaxed Ce2Ni4P3Ru crystal, computed with PBE-GGA.

Results
theoretical density: 7.90 g/cm³
total magnetic moment: 0.000 μB/atom
ΔE_f: -0.7991 eV per atom
N(E_F): 9.03 states/eV per cell

```
Ce2Ni4P3Ru
1.0
3.848 0.000 0.000
0.000 3.848 0.000
0.000 0.000 10.062
Ni Ce P Ru
4 2 3 1
Direct
0.500 0.500 0.000 Ni
0.500 0.000 0.658 Ni
0.000 0.000 0.000 Ni
0.000 0.500 0.342 Ni
0.000 0.500 0.748 Ce
0.500 0.000 0.252 Ce
0.000 0.000 0.500 P
0.000 0.500 0.122 P
0.500 0.000 0.878 P
0.500 0.500 0.500 Ru
```

---

A relaxed CeNiPS crystal, computed with PBE-GGA.

Results
theoretical density: 6.06 g/cm³
uncorrected formation energy: -1.15 eV/atom
total magnetic moment: 0.000 μB/atom
N(E_F): 8.57 states/eV per cell

```
CeNiPS
1.0
-2.553 -2.582 2.000
3.198 -1.460 2.196
-1.337 5.838 5.828
S Ce Ni P
2 2 2 2
Direct
0.500 0.500 0.500 S
0.000 0.000 0.500 S
0.000 0.500 0.285 Ce
0.500 0.000 0.715 Ce
0.000 0.000 0.000 Ni
0.500 0.500 0.000 Ni
0.000 0.500 0.876 P
0.500 0.000 0.124 P
```

---

Repeat the third record exactly.
A relaxed Ce2Ni3P4Pt crystal, computed with PBE-GGA.

Results
theoretical density: 8.30 g/cm³
total magnetic moment: 0.040 μB/atom
ΔE_f: -1.0038 eV per atom
N(E_F): 10.13 states/eV per cell

```
Ce2Ni3P4Pt
1.0
-0.464 4.073 0.381
-1.018 -0.487 3.960
8.805 0.782 2.361
Ni P Ce Pt
3 4 2 1
Direct
0.000 0.500 0.110 Ni
0.000 0.000 0.500 Ni
0.500 0.000 0.890 Ni
0.500 0.500 0.000 P
0.000 0.000 0.000 P
0.500 0.000 0.642 P
0.000 0.500 0.358 P
0.000 0.500 0.760 Ce
0.500 0.000 0.240 Ce
0.500 0.500 0.500 Pt
```

---

Question: What is the total magnetic moment in the third record?
Answer: 0.040 μB/atom

---

Question: What is the formula in the third record?
Answer: Ce2Ni3P4Pt